# LiPmAlGa (GGA-PBE, optimized geometry)
data_LiPmAlGa
_space_group_name_H-M_alt 'C 1 m 1'
_space_group_IT_number 8
_cell_length_a 7.667
_cell_length_b 4.432
_cell_length_c 6.357
_cell_angle_alpha 90.00
_cell_angle_beta 113.50
_cell_angle_gamma 90.00
loop_
_space_group_symop_operation_xyz
'x,y,z'
'x,-y,z'
'x+1/2,y+1/2,z'
'x+1/2,-y+1/2,z'
loop_
_atom_site_label
_atom_site_type_symbol
_atom_site_fract_x
_atom_site_fract_y
_atom_site_fract_z
_atom_site_occupancy
Li1 Li 0.000 0.000 0.000 1
Pm1 Pm 0.453 0.000 0.359 1
Al1 Al 0.249 0.000 0.747 1
Ga1 Ga 0.360 0.500 0.581 1
# magnetic moment: 0.0 μB/f.u.
# E: -0.126 Ha/atom